[1]
KPtRh: relaxed, PBE.

## Properties
Space group   F-43m, No. 216
Total DFT energy (no corrections)   -9.76 eV/f.u.

Unit cell a=4.6139 b=4.6139 c=4.6139 alpha=60.00 beta=60.00 gamma=60.00
Last column: nearest neighbours and their distance in Å.
Fractional positions:
K1 0.0000 0.0000 0.0000  4 Rh 2.83, 4 Pt 2.83
Pt1 0.2500 0.2500 0.2500  4 K 2.83
Rh1 0.7500 0.7500 0.7500  4 K 2.83

=====

[2]
KPtRh2: relaxed, PBE.

## Properties
Space group   I-42d, No. 122
Total DFT energy (no corrections)   -19.06 eV/f.u.

Unit cell a=9.5792 b=9.5792 c=9.5792 alpha=151.91 beta=151.91 gamma=40.14
Last column: nearest neighbours and their distance in Å.
Fractional positions:
K1 0.0000 0.0000 0.0000  4 Rh 3.16, 4 Pt 3.29
K2 0.7500 0.2500 0.5000  4 Rh 3.16, 4 Pt 3.29
Pt1 0.2500 0.7500 0.5000  4 Rh 2.57
Pt2 0.5000 0.5000 0.0000  4 Rh 2.57
Rh1 0.2802 0.6250 0.1552  2 Rh 2.49, 2 Pt 2.57
Rh2 0.3750 0.5302 0.6552  2 Rh 2.49, 2 Pt 2.57
Rh3 0.4698 0.1250 0.8448  2 Rh 2.49, 2 Pt 2.57
Rh4 0.8750 0.7198 0.3448  2 Rh 2.49, 2 Pt 2.57

=====

[3]
KPtRh2: relaxed, PBE.

## Properties
Space group   P4/mmm, No. 123
Total DFT energy (no corrections)   -19.05 eV/f.u.

Unit cell a=5.0069 b=5.0069 c=2.7701 alpha=90.00 beta=90.00 gamma=90.00
Last column: nearest neighbours and their distance in Å.
Fractional positions:
K1 0.0000 0.0000 0.0000  2 K 2.77, 8 Rh 2.86
Pt1 0.5000 0.5000 0.0000  2 Pt 2.77, 8 Rh 2.86
Rh1 0.0000 0.5000 0.5000  2 Rh 2.77, 4 K 2.86, 4 Pt 2.86
Rh2 0.5000 0.0000 0.5000  2 Rh 2.77, 4 K 2.86, 4 Pt 2.86

=====

[4]
KPtRh2: relaxed, PBE.

## Properties
Space group   C2/m, No. 12
Total DFT energy (no corrections)   -20.32 eV/f.u.

Unit cell a=4.7603 b=4.7603 c=6.4241 alpha=96.10 beta=96.10 gamma=33.90
Last column: nearest neighbours and their distance in Å.
Fractional positions:
K1 0.0000 0.0000 0.0000  2 K 2.78
Pt1 0.5000 0.5000 0.5000  6 Rh 2.67-2.74, 2 Pt 2.78
Rh1 0.2348 0.2348 0.6650  4 Rh 2.57-2.78, 3 Pt 2.67-2.74
Rh2 0.7652 0.7652 0.3350  4 Rh 2.57-2.78, 3 Pt 2.67-2.74

=====

[5]
KPt2Rh: relaxed, PBE.

## Properties
Space group   Pmmm, No. 47
Total DFT energy (no corrections)   -18.52 eV/f.u.

Unit cell a=2.7371 b=5.0227 c=5.1737 alpha=90.00 beta=90.00 gamma=90.00
Last column: nearest neighbours and their distance in Å.
Fractional positions:
K1 0.0000 0.0000 0.0000  2 K 2.74, 4 Rh 2.86, 4 Pt 2.93
Pt1 0.0000 0.5000 0.5000  6 Pt 2.74-2.86, 4 Rh 2.93
Pt2 0.5000 0.0000 0.5000  6 Pt 2.74-2.86, 4 K 2.93
Rh1 0.5000 0.5000 0.0000  2 Rh 2.74, 4 K 2.86, 4 Pt 2.93

=====

[6]
KPt2Rh: relaxed, PBE.

## Properties
Space group   Pmm2, No. 25
Total DFT energy (no corrections)   -19.34 eV/f.u.

Unit cell a=2.7518 b=4.0137 c=7.3839 alpha=90.00 beta=90.00 gamma=90.00
Last column: nearest neighbours and their distance in Å.
Fractional positions:
K1 0.0000 0.0000 0.0000  2 K 2.75
Pt1 0.0000 0.0000 0.5118  4 Rh 2.69, 6 Pt 2.75-2.85
Pt2 0.5000 0.5000 0.3108  1 Rh 2.63, 6 Pt 2.75-2.85
Rh1 0.5000 0.5000 0.6673  5 Pt 2.63-2.69, 2 Rh 2.75

=====

[7]
KPt2Rh: relaxed, PBE.

## Properties
Space group   Cm, No. 8
Total DFT energy (no corrections)   -19.51 eV/f.u.

Unit cell a=4.7827 b=4.7827 c=6.5376 alpha=95.73 beta=95.73 gamma=33.52
Last column: nearest neighbours and their distance in Å.
Fractional positions:
K1 0.0000 0.0000 0.0000  2 K 2.76
Pt1 0.4988 0.4988 0.5189  3 Rh 2.64-2.65, 5 Pt 2.76-2.88
Pt2 0.7627 0.7627 0.3150  2 Rh 2.64, 5 Pt 2.76-2.88
Rh1 0.2367 0.2367 0.6537  5 Pt 2.64-2.65, 2 Rh 2.76

=====

[8]
KPtRh: relaxed, PBE.

## Properties
Space group   P3m1, No. 156
Total DFT energy (no corrections)   -12.92 eV/f.u.

Unit cell a=2.8585 b=2.8585 c=7.8467 alpha=90.00 beta=90.00 gamma=120.00
Last column: nearest neighbours and their distance in Å.
Fractional positions:
K1 0.0000 0.0000 0.0000  6 K 2.86
Pt1 0.6667 0.3333 0.3585  3 Rh 2.76, 6 Pt 2.86
Rh1 0.3333 0.6667 0.6408  3 Pt 2.76, 6 Rh 2.86

=====

[9]
KPt2Rh2: relaxed, PBE.

## Properties
Space group   P4/mbm, No. 127
Total DFT energy (no corrections)   -27.38 eV/f.u.

Unit cell a=8.0733 b=8.0733 c=2.7106 alpha=90.00 beta=90.00 gamma=90.00
Last column: nearest neighbours and their distance in Å.
Fractional positions:
K1 0.0000 0.0000 0.0000  2 K 2.71
K2 0.5000 0.5000 0.0000  2 K 2.71
Pt1 0.1816 0.3184 0.5000  6 Rh 2.68-2.81, 2 Pt 2.71
Pt2 0.3184 0.8184 0.5000  6 Rh 2.68-2.81, 2 Pt 2.71
Pt3 0.6816 0.1816 0.5000  6 Rh 2.68-2.81, 2 Pt 2.71
Pt4 0.8184 0.6816 0.5000  6 Rh 2.68-2.81, 2 Pt 2.71
Rh1 0.1157 0.6157 0.0000  3 Rh 2.64-2.71, 6 Pt 2.68-2.81
Rh2 0.3843 0.1157 0.0000  3 Rh 2.64-2.71, 6 Pt 2.68-2.81
Rh3 0.6157 0.8843 0.0000  3 Rh 2.64-2.71, 6 Pt 2.68-2.81
Rh4 0.8843 0.3843 0.0000  3 Rh 2.64-2.71, 6 Pt 2.68-2.81

=====

[10]
KPtRh2: relaxed, PBE.

## Properties
Space group   Pmmm, No. 47
Total DFT energy (no corrections)   -20.15 eV/f.u.

Unit cell a=2.7080 b=4.1674 c=7.0469 alpha=90.00 beta=90.00 gamma=90.00
Last column: nearest neighbours and their distance in Å.
Fractional positions:
K1 0.0000 0.0000 0.0000  2 K 2.71
Pt1 0.0000 0.0000 0.5000  2 Pt 2.71, 8 Rh 2.77
Rh1 0.5000 0.5000 0.3253  3 Rh 2.46-2.71
Rh2 0.5000 0.5000 0.6747  3 Rh 2.46-2.71

=====

[11]
KPt2Rh: relaxed, PBE.

## Properties
Space group   I-4m2, No. 119
Total DFT energy (no corrections)   -18.02 eV/f.u.

Unit cell a=5.0024 b=5.0024 c=5.0024 alpha=130.24 beta=130.24 gamma=73.03
Last column: nearest neighbours and their distance in Å.
Fractional positions:
K1 0.0000 0.0000 0.0000  4 Rh 2.91, 8 Pt 2.91-2.98
Pt1 0.2500 0.7500 0.5000  4 K 2.91, 4 Pt 2.91, 4 Rh 2.98
Pt2 0.5000 0.5000 0.0000  4 Rh 2.91, 4 Pt 2.91, 4 K 2.98
Rh1 0.7500 0.2500 0.5000  4 K 2.91, 8 Pt 2.91-2.98

=====

[12]
KPtRh: relaxed, PBE.

## Properties
Space group   P-6m2, No. 187
Total DFT energy (no corrections)   -12.74 eV/f.u.

Unit cell a=4.9037 b=4.9037 c=2.7902 alpha=90.00 beta=90.00 gamma=120.00
Last column: nearest neighbours and their distance in Å.
Fractional positions:
K1 0.0000 0.0000 0.0000  2 K 2.79
Pt1 0.6667 0.3333 0.5000  2 Pt 2.79, 3 Rh 2.83
Rh1 0.3333 0.6667 0.5000  2 Rh 2.79, 3 Pt 2.83

=====

[13]
K4PtRh3S8: relaxed, PBE.

## Properties
Uncorrected formation energy   -11.24 eV per formula unit
Space group   R-3m, No. 166

Unit cell a=8.0597 b=8.0597 c=8.0597 alpha=55.41 beta=55.41 gamma=55.41
Last column: nearest neighbours and their distance in Å.
Fractional positions:
K1 0.0000 0.0000 0.0000  6 S 3.10
K2 0.0000 0.5000 0.5000  6 S 3.13-3.15
K3 0.5000 0.0000 0.5000  6 S 3.13-3.15
K4 0.5000 0.5000 0.0000  6 S 3.13-3.15
Pt1 0.5000 0.5000 0.5000  6 S 2.48
Rh1 0.0000 0.0000 0.5000  6 S 2.42-2.45
Rh2 0.0000 0.5000 0.0000  6 S 2.42-2.45
Rh3 0.5000 0.0000 0.0000  6 S 2.42-2.45
S1 0.2156 0.7255 0.7255  2 Rh 2.42, 1 Pt 2.48
S2 0.2226 0.2226 0.2226  3 Rh 2.45
S3 0.2745 0.2745 0.7844  2 Rh 2.42, 1 Pt 2.48
S4 0.2745 0.7844 0.2745  2 Rh 2.42, 1 Pt 2.48
S5 0.7255 0.2156 0.7255  2 Rh 2.42, 1 Pt 2.48
S6 0.7255 0.7255 0.2156  2 Rh 2.42, 1 Pt 2.48
S7 0.7774 0.7774 0.7774  3 Rh 2.45
S8 0.7844 0.2745 0.2745  2 Rh 2.42, 1 Pt 2.48

=====

[14]
K2Sb2PtRh: relaxed, PBE.

## Properties
Uncorrected formation energy   -2.54 eV per formula unit
Space group   Ibam, No. 72

Unit cell a=8.9621 b=8.9621 c=8.9621 alpha=135.80 beta=63.89 gamma=136.32
Last column: nearest neighbours and their distance in Å.
Fractional positions:
K1 0.1688 0.2429 0.4117  2 Pt 3.47, 2 Rh 3.52, 6 Sb 3.59-3.81
K2 0.3312 0.7429 0.0740  2 Pt 3.47, 2 Rh 3.52, 6 Sb 3.59-3.81
K3 0.6688 0.2571 0.9260  2 Pt 3.47, 2 Rh 3.52, 6 Sb 3.59-3.81
K4 0.8312 0.7571 0.5883  2 Pt 3.47, 2 Rh 3.52, 6 Sb 3.59-3.81
Sb1 0.0813 0.7429 0.8242  2 Rh 2.64, 2 Pt 2.70
Sb2 0.4187 0.2429 0.6616  2 Rh 2.64, 2 Pt 2.70
Sb3 0.5813 0.7571 0.3384  2 Rh 2.64, 2 Pt 2.70
Sb4 0.9187 0.2571 0.1758  2 Rh 2.64, 2 Pt 2.70
Pt1 0.2500 0.2500 0.0000  4 Sb 2.70
Pt2 0.7500 0.7500 0.0000  4 Sb 2.70
Rh1 0.2500 0.7500 0.5000  4 Sb 2.64
Rh2 0.7500 0.2500 0.5000  4 Sb 2.64

=====

[15]
K2PtRh2Se6: relaxed, PBE.

## Properties
Uncorrected formation energy   -7.30 eV per formula unit
Space group   C2/m, No. 12

Unit cell a=6.6299 b=6.6299 c=7.7249 alpha=98.18 beta=98.18 gamma=120.07
Last column: nearest neighbours and their distance in Å.
Fractional positions:
K1 0.1661 0.8339 0.0000  6 Se 3.30-3.31
K2 0.8339 0.1661 0.0000  6 Se 3.30-3.31
Pt1 0.0000 0.0000 0.5000  6 Se 2.54-2.56
Rh1 0.3322 0.6678 0.5000  6 Se 2.52-2.54
Rh2 0.6678 0.3322 0.5000  6 Se 2.52-2.54
Se1 0.0572 0.3910 0.6673  2 Rh 2.52-2.53, 1 Pt 2.54
Se2 0.2808 0.2808 0.3307  2 Rh 2.54, 1 Pt 2.56
Se3 0.3910 0.0572 0.6673  2 Rh 2.52-2.53, 1 Pt 2.54
Se4 0.6090 0.9428 0.3327  2 Rh 2.52-2.53, 1 Pt 2.54
Se5 0.7192 0.7192 0.6693  2 Rh 2.54, 1 Pt 2.56
Se6 0.9428 0.6090 0.3327  2 Rh 2.52-2.53, 1 Pt 2.54

=====

[16]
K2Sn4Pt3Rh: relaxed, PBE.

## Properties
Space group   P-4m2, No. 115
Total DFT energy (no corrections)   -48.14 eV/f.u.

Unit cell a=4.7146 b=4.7146 c=10.7407 alpha=90.00 beta=90.00 gamma=90.00
Last column: nearest neighbours and their distance in Å.
Fractional positions:
K1 0.0000 0.5000 0.2422  2 Rh 3.51, 6 Pt 3.51-3.62, 9 Sn 3.58-3.89
K2 0.5000 0.0000 0.7578  2 Rh 3.51, 6 Pt 3.51-3.62, 9 Sn 3.58-3.89
Sn1 0.0000 0.0000 0.5000  4 Pt 2.73
Sn2 0.0000 0.5000 0.8802  2 Rh 2.69, 3 Pt 2.69-2.72
Sn3 0.5000 0.0000 0.1198  2 Rh 2.69, 3 Pt 2.69-2.72
Sn4 0.5000 0.5000 0.5000  4 Pt 2.73
Pt1 0.0000 0.0000 0.0000  4 Sn 2.69
Pt2 0.0000 0.5000 0.6274  5 Sn 2.72-2.73
Pt3 0.5000 0.0000 0.3726  5 Sn 2.72-2.73
Rh1 0.5000 0.5000 0.0000  4 Sn 2.69

=====

[17]
K2Tl6PtRh: relaxed, PBE.

## Properties
Space group   R-3m, No. 166
Total DFT energy (no corrections)   -30.49 eV/f.u.

Unit cell a=12.6809 b=12.6809 c=12.6809 alpha=35.43 beta=35.43 gamma=35.43
Last column: nearest neighbours and their distance in Å.
Fractional positions:
K1 0.1259 0.1259 0.1259  12 Tl 3.50-3.86
K2 0.2922 0.2922 0.2922  12 Tl 3.68-3.86
K3 0.7078 0.7078 0.7078  12 Tl 3.68-3.86
K4 0.8741 0.8741 0.8741  12 Tl 3.50-3.86
Tl1 0.0967 0.6425 0.6425  1 Rh 2.81, 1 Pt 2.87
Tl2 0.2069 0.2069 0.7186  1 Rh 2.68, 1 Pt 2.69
Tl3 0.2069 0.7186 0.2069  1 Rh 2.68, 1 Pt 2.69
Tl4 0.2814 0.7931 0.7931  1 Rh 2.68, 1 Pt 2.69
Tl5 0.3575 0.3575 0.9033  1 Rh 2.81, 1 Pt 2.87
Tl6 0.3575 0.9033 0.3575  1 Rh 2.81, 1 Pt 2.87
Tl7 0.6425 0.0967 0.6425  1 Rh 2.81, 1 Pt 2.87
Tl8 0.6425 0.6425 0.0967  1 Rh 2.81, 1 Pt 2.87
Tl9 0.7186 0.2069 0.2069  1 Rh 2.68, 1 Pt 2.69
Tl10 0.7931 0.2814 0.7931  1 Rh 2.68, 1 Pt 2.69
Tl11 0.7931 0.7931 0.2814  1 Rh 2.68, 1 Pt 2.69
Tl12 0.9033 0.3575 0.3575  1 Rh 2.81, 1 Pt 2.87
Pt1 0.4176 0.4176 0.4176  6 Tl 2.69-2.87, 1 Rh 2.94
Pt2 0.5824 0.5824 0.5824  6 Tl 2.69-2.87, 1 Rh 2.94
Rh1 0.0000 0.0000 0.0000  6 Tl 2.68
Rh2 0.5000 0.5000 0.5000  6 Tl 2.81, 2 Pt 2.94

=====

[18]
K4RuPt: relaxed, PBE.

## Properties
Space group   F-43m, No. 216
Total DFT energy (no corrections)   -12.67 eV/f.u.

Unit cell a=6.3714 b=6.3714 c=6.3714 alpha=60.00 beta=60.00 gamma=60.00
Last column: nearest neighbours and their distance in Å.
Fractional positions:
K1 0.1238 0.1238 0.1238  6 K 3.16-3.22
K2 0.1238 0.1238 0.6285  6 K 3.16-3.22
K3 0.1238 0.6285 0.1238  6 K 3.16-3.22
K4 0.6285 0.1238 0.1238  6 K 3.16-3.22
Ru1 0.5000 0.5000 0.5000  12 K 3.74, 4 Pt 3.90
Pt1 0.7500 0.7500 0.7500  12 K 3.73, 4 Ru 3.90

=====

[19]
K2RuPt: relaxed, PBE.

## Properties
Space group   R3m, No. 160
Total DFT energy (no corrections)   -13.93 eV/f.u.

Unit cell a=11.6974 b=11.6974 c=11.6974 alpha=15.81 beta=15.81 gamma=15.81
Last column: nearest neighbours and their distance in Å.
Fractional positions:
K1 0.0000 0.0000 0.0000  6 K 3.22, 3 Ru 3.35
K2 0.2116 0.2116 0.2116  6 K 3.22, 3 Pt 3.28
Ru1 0.7472 0.7472 0.7472  3 Pt 2.61
Pt1 0.4668 0.4668 0.4668  3 Ru 2.61

=====

[20]
KRuPt3: relaxed, PBE.

## Properties
Space group   Pm-3m, No. 221
Total DFT energy (no corrections)   -15.78 eV/f.u.

Unit cell a=4.8395 b=4.8395 c=4.8395 alpha=90.00 beta=90.00 gamma=90.00
Last column: nearest neighbours and their distance in Å.
Fractional positions:
K1 0.0000 0.0000 0.0000  6 Pt 2.42
Ru1 0.5000 0.5000 0.5000  12 Pt 3.42
Pt1 0.0000 0.0000 0.5000  2 K 2.42
Pt2 0.0000 0.5000 0.0000  2 K 2.42
Pt3 0.5000 0.0000 0.0000  2 K 2.42

=====

[21]
KRuPt: relaxed, PBE.

## Properties
Space group   P3m1, No. 156
Total DFT energy (no corrections)   -14.25 eV/f.u.

Unit cell a=2.8461 b=2.8461 c=7.9508 alpha=90.00 beta=90.00 gamma=120.00
Last column: nearest neighbours and their distance in Å.
Fractional positions:
K1 0.0000 0.0000 0.0000  6 K 2.85
Ru1 0.3333 0.6667 0.6298  3 Pt 2.71, 6 Ru 2.85
Pt1 0.6667 0.3333 0.3587  3 Ru 2.71, 6 Pt 2.85

=====

[22]
KRuPt: relaxed, PBE.

## Properties
Space group   Imm2, No. 44
Total DFT energy (no corrections)   -15.32 eV/f.u.

Unit cell a=6.4444 b=6.4444 c=6.4444 alpha=155.56 beta=142.24 gamma=45.49
Last column: nearest neighbours and their distance in Å.
Fractional positions:
K1 0.0000 0.0000 0.0000  2 K 2.73
Ru1 0.7230 0.7230 0.0000  4 Pt 2.59, 2 Ru 2.73
Pt1 0.2837 0.2837 0.0000  4 Ru 2.59, 2 Pt 2.73

=====

[23]
K2RuPt: relaxed, PBE.

## Properties
Space group   Pmmm, No. 47
Total DFT energy (no corrections)   -14.27 eV/f.u.

Unit cell a=2.8900 b=5.3672 c=5.6199 alpha=90.00 beta=90.00 gamma=90.00
Last column: nearest neighbours and their distance in Å.
Fractional positions:
K1 0.0000 0.0000 0.2483  4 K 2.79-2.89
K2 0.0000 0.0000 0.7517  4 K 2.79-2.89
Ru1 0.5000 0.5000 0.5000  2 Pt 2.81, 2 Ru 2.89
Pt1 0.5000 0.5000 0.0000  2 Ru 2.81, 2 Pt 2.89

=====

[24]
K2RuPt: relaxed, PBE.

## Properties
Space group   C2/m, No. 12
Total DFT energy (no corrections)   -14.46 eV/f.u.

Unit cell a=5.7858 b=5.7858 c=5.1461 alpha=97.18 beta=97.18 gamma=28.37
Last column: nearest neighbours and their distance in Å.
Fractional positions:
K1 0.2437 0.2437 0.2458  6 K 2.84-2.96
K2 0.7563 0.7563 0.7542  6 K 2.84-2.96
Ru1 0.0000 0.0000 0.5000  2 Ru 2.84, 4 Pt 2.94
Pt1 0.5000 0.5000 0.0000  2 Pt 2.84, 4 Ru 2.94

=====

[25]
K2RuPt: relaxed, PBE.

## Properties
Space group   F-43m, No. 216
Total DFT energy (no corrections)   -13.83 eV/f.u.

Unit cell a=5.0864 b=5.0864 c=5.0864 alpha=60.00 beta=60.00 gamma=60.00
Last column: nearest neighbours and their distance in Å.
Fractional positions:
K1 0.0000 0.0000 0.0000  4 Ru 3.11, 4 K 3.11
K2 0.2500 0.2500 0.2500  4 Pt 3.11, 4 K 3.11
Ru1 0.7500 0.7500 0.7500  4 Pt 3.11, 4 K 3.11
Pt1 0.5000 0.5000 0.5000  4 Ru 3.11, 4 K 3.11

=====

[26]
K2RuPt: relaxed, PBE.

## Properties
Space group   Cm, No. 8
Total DFT energy (no corrections)   -15.71 eV/f.u.

Unit cell a=4.6381 b=4.6381 c=9.7021 alpha=93.27 beta=93.27 gamma=36.35
Last column: nearest neighbours and their distance in Å.
Fractional positions:
K1 0.0000 0.0000 0.0000  2 K 2.89
K2 0.2248 0.2248 0.5549  2 K 2.89
Ru1 0.7496 0.7496 0.2465  3 Pt 2.46-2.57
Pt1 0.4838 0.4838 0.3107  3 Ru 2.46-2.57

=====

[27]
KRuPt3: relaxed, PBE.

## Properties
Space group   Pm-3m, No. 221
Total DFT energy (no corrections)   -24.52 eV/f.u.

Unit cell a=4.9001 b=4.9001 c=4.9001 alpha=90.00 beta=90.00 gamma=90.00
Last column: nearest neighbours and their distance in Å.
Fractional positions:
K1 0.0000 0.0000 0.0000  12 Pt 3.46
Ru1 0.5000 0.5000 0.5000  6 Pt 2.45
Pt1 0.0000 0.5000 0.5000  2 Ru 2.45
Pt2 0.5000 0.0000 0.5000  2 Ru 2.45
Pt3 0.5000 0.5000 0.0000  2 Ru 2.45